A plane-wave DFT calculation with PBE was carried out for a relaxed K2SrMn crystal.

Geometry as POSCAR:
```
K2SrMn
1.0
4.1639 0.0000 0.0000
0.0000 6.8861 0.0000
-0.5931 0.0000 6.3835
K Sr Mn
2 1 1
Cartesian
0.7404 0.0000 1.7173 K
2.8305 0.0000 4.6662 K
2.0820 3.4430 0.0000 Sr
-0.2965 3.4430 3.1917 Mn
```

Mass density ... 2.00 g/cm³
Energy above the most stable polymorph in this dataset ... 166 meV/atom
Total energy ... -2.616 eV/atom
Energy of formation ... 0.646 eV per atom